A plane-wave DFT calculation with PBE was carried out for a geometry-optimized Pm2AlCu6Ni structure.

Lattice parameters (Å, degrees): 6.283 6.249 6.123 60.70 60.08 88.61
Sites, in units of the cell vectors:
Pm 0.792 0.389 0.413
Al 0.000 0.000 0.000
Pm 0.208 0.611 0.587
Cu 0.323 0.132 0.042
Ni 0.500 0.500 0.000
Cu 0.379 0.880 0.794
Cu 0.621 0.120 0.206
Cu 0.172 0.135 0.496
Cu 0.828 0.865 0.504
Cu 0.677 0.868 0.958

* E_form: -0.067 eV per atom
* total magnetic moment: 0.00 Bohr magnetons per cell

***

A plane-wave DFT calculation with PBE was carried out for a geometry-optimized Pr2AlCu3Ni12 structure.

Lattice parameters (Å, degrees): 7.481 7.481 7.481 59.23 59.23 59.23
Sites, in units of the cell vectors:
Ni 0.128 0.128 0.620
Pr 0.624 0.624 0.624
Ni 0.622 0.133 0.622
Ni 0.872 0.872 0.380
Ni 0.128 0.620 0.128
Cu 0.000 0.500 0.000
Ni 0.872 0.380 0.872
Ni 0.378 0.378 0.867
Cu 0.500 0.000 0.000
Al 0.000 0.000 0.000
Ni 0.378 0.867 0.378
Pr 0.376 0.376 0.376
Ni 0.133 0.622 0.622
Ni 0.380 0.872 0.872
Ni 0.867 0.378 0.378
Ni 0.620 0.128 0.128
Cu 0.000 0.000 0.500
Ni 0.622 0.622 0.133

* E_form: 0.460 eV per atom
* total magnetic moment: 0.00 Bohr magnetons per cell

***

A plane-wave DFT calculation with PBE was carried out for a geometry-optimized PrAl4Cu2Ni structure.

Lattice parameters (Å, degrees): 4.165 4.165 9.214 76.94 76.94 60.00
Sites, in units of the cell vectors:
Ni 0.500 0.500 0.500
Pr 0.000 0.000 0.000
Cu 0.766 0.766 0.703
Al 0.135 0.135 0.596
Al 0.865 0.865 0.404
Al 0.409 0.409 0.773
Cu 0.234 0.234 0.297
Al 0.591 0.591 0.227

* E_form: -0.405 eV per atom
* total magnetic moment: 0.00 Bohr magnetons per cell

***

A plane-wave DFT calculation with PBE was carried out for a geometry-optimized PrAlCu2Ni structure.

Lattice parameters (Å, degrees): 3.792 4.057 6.234 108.99 107.71 90.00
Sites, in units of the cell vectors:
Al 0.192 0.692 0.385
Pr 0.437 0.437 0.873
Cu 0.054 0.054 0.108
Cu 0.699 0.199 0.398
Ni 0.830 0.830 0.661

* E_form: -0.299 eV per atom
* total magnetic moment: 0.00 Bohr magnetons per cell

***

A plane-wave DFT calculation with PBE was carried out for a geometry-optimized Pr2AlCu12Ni3 structure.

Lattice parameters (Å, degrees): 6.440 6.440 6.440 82.73 82.73 82.73
Sites, in units of the cell vectors:
Ni 0.500 0.000 0.000
Ni 0.000 0.000 0.500
Cu 0.574 0.574 0.157
Al 0.000 0.000 0.000
Pr 0.745 0.745 0.745
Cu 0.199 0.729 0.199
Cu 0.801 0.801 0.271
Cu 0.574 0.157 0.574
Cu 0.426 0.843 0.426
Cu 0.271 0.801 0.801
Ni 0.000 0.500 0.000
Pr 0.255 0.255 0.255
Cu 0.426 0.426 0.843
Cu 0.843 0.426 0.426
Cu 0.801 0.271 0.801
Cu 0.157 0.574 0.574
Cu 0.729 0.199 0.199
Cu 0.199 0.199 0.729

* E_form: 0.039 eV per atom
* total magnetic moment: 0.00 Bohr magnetons per cell

***

A plane-wave DFT calculation with PBE was carried out for a geometry-optimized Pr2AlCu6Ni structure.

Lattice parameters (Å, degrees): 6.456 6.526 6.459 80.33 45.42 97.30
Sites, in units of the cell vectors:
Al 0.000 0.000 0.000
Ni 0.500 0.500 0.000
Cu 0.267 0.766 0.996
Cu 0.239 0.234 0.499
Cu 0.733 0.234 0.004
Pr 0.236 0.693 0.543
Cu 0.761 0.766 0.501
Pr 0.764 0.307 0.457
Cu 0.747 0.912 0.834
Cu 0.253 0.088 0.166

* E_form: -0.135 eV per atom
* total magnetic moment: 0.00 Bohr magnetons per cell

***

A plane-wave DFT calculation with PBE was carried out for a geometry-optimized Pr2Al2CuNi structure.

Lattice parameters (Å, degrees): 4.149 7.157 12.416 89.98 90.00 90.00
Sites, in units of the cell vectors:
Pr 0.500 0.286 0.706
Al 0.000 0.112 0.110
Al 0.000 0.614 0.613
Cu 0.000 0.501 0.832
Ni 0.500 0.999 0.999
Ni 0.500 0.500 0.501
Al 0.000 0.612 0.390
Pr 0.500 0.292 0.294
Ni 0.000 0.001 0.667
Pr 0.500 0.916 0.505
Al 0.000 0.111 0.886
Al 0.000 0.275 0.502
Al 0.000 0.777 0.999
Cu 0.000 0.499 0.166
Pr 0.500 0.414 0.999
Cu 0.000 0.999 0.334
Pr 0.500 0.799 0.790
Pr 0.500 0.794 0.207

* E_form: -0.431 eV per atom
* total magnetic moment: 0.00 Bohr magnetons per cell

***

A plane-wave DFT calculation with PBE was carried out for a geometry-optimized PrAlCu2Ni2 structure.

Lattice parameters (Å, degrees): 4.326 4.326 5.690 90.00 90.00 90.00
Sites, in units of the cell vectors:
Cu 0.500 0.500 0.242
Ni 0.000 0.500 0.000
Al 0.000 0.000 0.000
Ni 0.500 0.000 0.000
Cu 0.500 0.500 0.758
Pr 0.000 0.000 0.500

* E_form: 0.135 eV per atom
* total magnetic moment: 0.00 Bohr magnetons per cell

***

A plane-wave DFT calculation with PBE was carried out for a geometry-optimized Pr2AlCu2Ni5 structure.

Lattice parameters (Å, degrees): 3.637 9.259 9.259 90.00 90.00 90.00
Sites, in units of the cell vectors:
Cu 0.000 0.118 0.618
Pr 0.000 0.320 0.820
Ni 0.500 0.556 0.701
Ni 0.500 0.056 0.799
Al 0.000 0.500 0.500
Pr 0.000 0.680 0.180
Cu 0.000 0.882 0.382
Cu 0.000 0.618 0.882
Al 0.000 0.000 0.000
Ni 0.500 0.000 0.500
Ni 0.500 0.444 0.299
Cu 0.000 0.382 0.118
Ni 0.500 0.944 0.201
Pr 0.000 0.180 0.320
Ni 0.500 0.299 0.556
Ni 0.500 0.500 0.000
Ni 0.500 0.201 0.056
Ni 0.500 0.799 0.944
Pr 0.000 0.820 0.680
Ni 0.500 0.701 0.444

* E_form: -0.198 eV per atom
* total magnetic moment: 0.00 Bohr magnetons per cell

***

A plane-wave DFT calculation with PBE was carried out for a geometry-optimized Sc4AlCu2Ni structure.

Lattice parameters (Å, degrees): 4.632 4.632 8.006 73.19 73.19 60.00
Sites, in units of the cell vectors:
Sc 0.618 0.618 0.147
Sc 0.130 0.130 0.609
Sc 0.870 0.870 0.391
Cu 0.259 0.259 0.224
Ni 0.500 0.500 0.500
Al 0.000 0.000 0.000
Sc 0.382 0.382 0.853
Cu 0.741 0.741 0.776

* E_form: -0.378 eV per atom
* total magnetic moment: 0.00 Bohr magnetons per cell

***

A plane-wave DFT calculation with PBE was carried out for a geometry-optimized ScAl2CuNi structure.

Lattice parameters (Å, degrees): 5.136 4.585 5.136 90.00 90.00 90.00
Each line ends with the local moment (μB).
Sites, in units of the cell vectors:
Ni 0.500 0.500 0.500  0.60
Sc 0.000 0.000 0.000  -0.06
Cu 0.000 0.500 0.000  0.00
Al 0.000 0.000 0.500  -0.01
Al 0.500 0.000 0.000  -0.01

* E_form: 1.407 eV per atom
* total magnetic moment: 0.45 Bohr magnetons per cell

***

A plane-wave DFT calculation with PBE was carried out for a geometry-optimized ScAl3CuNi structure.

Lattice parameters (Å, degrees): 5.473 6.011 6.652 116.86 90.00 90.00
Sites, in units of the cell vectors:
Ni 0.750 0.640 0.280
Sc 0.750 0.297 0.594
Cu 0.750 0.084 0.167
Al 0.500 0.711 0.000
Ni 0.250 0.360 0.720
Al 0.000 0.711 0.000
Sc 0.250 0.703 0.406
Al 0.500 0.289 0.000
Cu 0.250 0.916 0.833
Al 0.250 0.152 0.305
Al 0.750 0.848 0.695
Al 0.000 0.289 0.000

* E_form: -0.238 eV per atom
* total magnetic moment: 0.00 Bohr magnetons per cell